This record from Alexandria via LeMat-Bulk describes a geometry-optimized Pm2HoS3 structure. The functional is PBE-GGA.

Summary:
- Energy relative to the elements, uncorrected: -2.0096 eV/atom
- Space-group type: No. 71
- Offset from the most stable computed form: 0 meV per atom
- Energy: -6.42 eV per atom

a = 3.9802 Å, b = 5.6349 Å, c = 6.9076 Å
α = 114.07°, β = 106.74°, γ = 90.00°
With the nearest neighbours (Å) after each atom.
Fractional positions:
S1 0.5000 0.0000 0.5000  2 Ho 2.82, 4 Pm 2.85
S2 0.8416 0.3416 0.1832  2 Ho 2.75, 4 Pm 2.82-2.85
S3 0.1584 0.6584 0.8168  2 Ho 2.75, 4 Pm 2.82-2.85
Pm1 0.1707 0.1707 0.8414  6 S 2.82-2.85
Pm2 0.8293 0.8293 0.1586  6 S 2.82-2.85
Ho1 0.5000 0.5000 0.5000  6 S 2.75-2.82